This record from Alexandria describes an optimized crystal structure of Ti5MnRe4. The functional is PBE.

Computed properties:
- E_form: -336 kJ/mol of formula units
- DOS(E_F): 11.25 states/eV per cell

a = 3.1010 Å, b = 3.1010 Å, c = 15.4264 Å
α = 90.00°, β = 90.00°, γ = 90.00°
Each line ends with the local moment (μB).
Atoms (fractional coordinates):
Re1 0.0000 0.0000 0.8048  0.02
Re2 0.0000 0.0000 0.6015  -0.01
Re3 0.0000 0.0000 0.3985  -0.01
Re4 0.0000 0.0000 0.1952  0.02
Ti1 0.5000 0.5000 0.9052  -0.15
Ti2 0.5000 0.5000 0.5000  0.00
Ti3 0.5000 0.5000 0.0948  -0.15
Ti4 0.5000 0.5000 0.7029  0.01
Ti5 0.5000 0.5000 0.2971  0.01
Mn1 0.0000 0.0000 0.0000  0.89